Compound: Ho2ThAu6
Source: Alexandria via LeMat-Bulk
Functional: PBE-GGA
Structure: relaxed

Cell: 8.4513 8.4513 8.4513 Å, 154.64 126.42 60.17°
With the nearest neighbours (Å) after each atom.
Sites, in units of the cell vectors:
Ho 0.1403 0.1403 0.0000  10 Au 3.01-3.10
Ho 0.8597 0.8597 0.0000  10 Au 3.01-3.10
Th 0.5000 0.0000 0.5000  4 Au 3.04
Au 0.1335 0.3215 0.8121  4 Au 2.79-2.95, 3 Ho 3.01-3.07
Au 0.1839 0.5000 0.6839  3 Au 2.79-2.80, 2 Th 3.04, 4 Ho 3.10
Au 0.4906 0.6785 0.8121  4 Au 2.79-2.95, 3 Ho 3.01-3.07
Au 0.5094 0.3215 0.1879  4 Au 2.79-2.95, 3 Ho 3.01-3.07
Au 0.8161 0.5000 0.3161  3 Au 2.79-2.80, 2 Th 3.04, 4 Ho 3.10
Au 0.8665 0.6785 0.1879  4 Au 2.79-2.95, 3 Ho 3.01-3.07

space group: Immm, No. 71
formation energy from the elements: -0.7082 eV per atom

Compound: YTm3Zr
Source: Alexandria via LeMat-Bulk
Functional: PBE-GGA
Structure: relaxed

Cell: 5.9673 6.9140 7.6200 Å, 103.03 96.94 106.97°
With the nearest neighbours (Å) after each atom.
Sites, in units of the cell vectors:
Y 0.2042 0.1479 0.4016  8 Tm 3.35-3.53, 3 Zr 3.40-3.54, 1 Y 3.43
Y 0.7958 0.8521 0.5984  8 Tm 3.35-3.53, 3 Zr 3.40-3.54, 1 Y 3.43
Tm 0.0080 0.7599 0.0038  3 Zr 3.33-3.44, 7 Tm 3.36-3.55, 2 Y 3.38-3.46
Tm 0.2136 0.6618 0.4034  4 Y 3.35-3.53, 2 Zr 3.41-3.42, 6 Tm 3.43-3.57
Tm 0.4008 0.5579 0.8073  3 Zr 3.31-3.56, 7 Tm 3.38-3.54, 2 Y 3.43-3.49
Tm 0.5992 0.4421 0.1927  3 Zr 3.31-3.56, 7 Tm 3.38-3.54, 2 Y 3.43-3.49
Tm 0.7864 0.3382 0.5966  4 Y 3.35-3.53, 2 Zr 3.41-3.42, 6 Tm 3.43-3.57
Tm 0.9920 0.2401 0.9962  3 Zr 3.33-3.44, 7 Tm 3.36-3.55, 2 Y 3.38-3.46
Zr 0.4079 0.0462 0.8125  1 Zr 3.20, 8 Tm 3.31-3.56, 3 Y 3.40-3.54
Zr 0.5921 0.9538 0.1875  1 Zr 3.20, 8 Tm 3.31-3.56, 3 Y 3.40-3.54

space group: P-1, No. 2
formation energy from the elements: 0.0640 eV per atom
offset from the most stable computed form: 4.2 meV per atom

Compound: ZrCd2Sn2
Source: Alexandria via LeMat-Bulk
Functional: PBE-GGA
Structure: relaxed

Cell: 3.9641 3.9641 16.0776 Å, 90.00 90.00 90.00°
With the nearest neighbours (Å) after each atom.
Sites, in units of the cell vectors:
Zr 0.0000 0.0000 0.0000  8 Sn 3.16
Zr 0.5000 0.5000 0.5000  8 Sn 3.16
Cd 0.0000 0.5000 0.2500  4 Cd 2.80
Cd 0.0000 0.5000 0.7500  4 Cd 2.80
Cd 0.5000 0.0000 0.2500  4 Cd 2.80
Cd 0.5000 0.0000 0.7500  4 Cd 2.80
Sn 0.0000 0.0000 0.4087  1 Sn 2.93, 4 Zr 3.16, 4 Cd 3.23
Sn 0.0000 0.0000 0.5913  1 Sn 2.93, 4 Zr 3.16, 4 Cd 3.23
Sn 0.5000 0.5000 0.0913  1 Sn 2.93, 4 Zr 3.16, 4 Cd 3.23
Sn 0.5000 0.5000 0.9087  1 Sn 2.93, 4 Zr 3.16, 4 Cd 3.23

space group: I4/mmm, No. 139
formation energy from the elements: 0.0867 eV per atom
offset from the most stable computed form: 21.4 meV per atom

Compound: NbBiC
Source: Alexandria via LeMat-Bulk
Functional: PBE-GGA
Structure: relaxed

Cell: 6.4099 3.6141 10.2827 Å, 90.00 101.09 90.00°
With the nearest neighbours (Å) after each atom.
Sites, in units of the cell vectors:
Nb 0.1317 0.0000 0.3925  4 C 2.11-2.20
Nb 0.3683 0.5000 0.6075  4 C 2.11-2.20
Nb 0.6317 0.5000 0.3925  4 C 2.11-2.20
Nb 0.8683 0.0000 0.6075  4 C 2.11-2.20
Bi 0.1183 0.5000 0.8624  3 C 3.28-3.36, 3 Nb 3.32-3.33, 5 Bi 3.46-3.61
Bi 0.3817 0.0000 0.1376  3 C 3.28-3.36, 3 Nb 3.32-3.33, 5 Bi 3.46-3.61
Bi 0.6183 0.0000 0.8624  3 C 3.28-3.36, 3 Nb 3.32-3.33, 5 Bi 3.46-3.61
Bi 0.8817 0.5000 0.1376  3 C 3.28-3.36, 3 Nb 3.32-3.33, 5 Bi 3.46-3.61
C 0.1986 0.0000 0.6105  4 Nb 2.11-2.20
C 0.3014 0.5000 0.3895  4 Nb 2.11-2.20
C 0.6986 0.5000 0.6105  4 Nb 2.11-2.20
C 0.8014 0.0000 0.3895  4 Nb 2.11-2.20

space group: C2/m, No. 12
formation energy from the elements: 0.1221 eV per atom

Compound: Tb2Ge5Os3
Source: Alexandria via LeMat-Bulk
Functional: PBE-GGA
Structure: relaxed

Cell: 8.4914 8.4914 8.4914 Å, 108.44 85.48 139.69°
With the nearest neighbours (Å) after each atom.
Sites, in units of the cell vectors:
Tb 0.1409 0.2306 0.3715  9 Ge 2.99-3.31, 4 Os 3.15-3.24
Tb 0.3591 0.7306 0.0898  9 Ge 2.99-3.31, 4 Os 3.15-3.24
Tb 0.6409 0.2694 0.9102  9 Ge 2.99-3.31, 4 Os 3.15-3.24
Tb 0.8591 0.7694 0.6285  9 Ge 2.99-3.31, 4 Os 3.15-3.24
Ge 0.0419 0.7500 0.2919  3 Os 2.50-2.60, 2 Ge 2.73
Ge 0.0866 0.6747 0.7612  3 Os 2.41-2.51
Ge 0.2500 0.2500 0.0000  4 Os 2.54
Ge 0.4134 0.1747 0.5881  3 Os 2.41-2.51
Ge 0.4581 0.7500 0.7081  3 Os 2.50-2.60, 2 Ge 2.73
Ge 0.5419 0.2500 0.2919  3 Os 2.50-2.60, 2 Ge 2.73
Ge 0.5866 0.8253 0.4119  3 Os 2.41-2.51
Ge 0.7500 0.7500 0.0000  4 Os 2.54
Ge 0.9134 0.3253 0.2388  3 Os 2.41-2.51
Ge 0.9581 0.2500 0.7081  3 Os 2.50-2.60, 2 Ge 2.73
Os 0.1482 0.9046 0.0528  5 Ge 2.41-2.54
Os 0.2500 0.7500 0.5000  6 Ge 2.51-2.60
Os 0.3518 0.4046 0.7563  5 Ge 2.41-2.54
Os 0.6482 0.5954 0.2437  5 Ge 2.41-2.54
Os 0.7500 0.2500 0.5000  6 Ge 2.51-2.60
Os 0.8518 0.0954 0.9472  5 Ge 2.41-2.54

space group: Ibam, No. 72
formation energy from the elements: -0.4534 eV per atom

Compound: BaSrH
Source: Alexandria via LeMat-Bulk
Functional: PBE-GGA
Structure: relaxed

Cell: 6.7817 4.4136 7.3168 Å, 90.00 90.87 90.00°
With the nearest neighbours (Å) after each atom.
Sites, in units of the cell vectors:
Ba 0.0000 0.0000 0.0000  1 H 2.78
Ba 0.4831 0.0000 0.3477  1 H 2.59
Sr 0.4861 0.5000 0.8784  3 H 2.44-2.72
Sr 0.9698 0.5000 0.4836  1 H 2.76
H 0.4099 0.0000 0.9994  2 Sr 2.44, 1 Ba 2.59
H 0.7193 0.5000 0.1834  2 Sr 2.72-2.76, 2 Ba 2.99

space group: Pm, No. 6
offset from the most stable computed form: 17.2 meV per atom

Compound: HfTlIn
Source: Alexandria via LeMat-Bulk
Functional: PBE-GGA
Structure: relaxed

Cell: 8.9968 8.4772 7.0532 Å, 70.12 62.39 47.50°
With the nearest neighbours (Å) after each atom.
Sites, in units of the cell vectors:
Hf 0.0353 0.7147 0.7147  1 Hf 2.89, 2 Tl 2.97, 4 In 2.98-3.00
Hf 0.2853 0.9647 0.9647  1 Hf 2.89, 2 Tl 2.97, 4 In 2.98-3.00
Hf 0.7147 0.0353 0.0353  1 Hf 2.89, 2 Tl 2.97, 4 In 2.98-3.00
Hf 0.9647 0.2853 0.2853  1 Hf 2.89, 2 Tl 2.97, 4 In 2.98-3.00
Tl 0.0000 0.5000 0.5000  2 Hf 2.97, 2 In 3.29
Tl 0.5000 0.0000 0.5000  2 Hf 2.97, 2 In 3.29
Tl 0.5000 0.5000 0.0000  2 Hf 2.97, 2 In 3.29
Tl 0.5000 0.5000 0.5000  2 Hf 2.97, 2 In 3.29
In 0.0564 0.0564 0.6936  4 Hf 2.98-3.00, 2 Tl 3.29
In 0.3064 0.3064 0.9436  4 Hf 2.98-3.00, 2 Tl 3.29
In 0.6936 0.6936 0.0564  4 Hf 2.98-3.00, 2 Tl 3.29
In 0.9436 0.9436 0.3064  4 Hf 2.98-3.00, 2 Tl 3.29

space group: Fddd, No. 70
formation energy from the elements: 0.4409 eV per atom

Compound: KB12
Source: Alexandria via LeMat-Bulk
Functional: PBE-GGA
Structure: relaxed

Cell: 5.0630 5.0630 5.0630 Å, 90.00 90.00 90.00°
With the nearest neighbours (Å) after each atom.
Sites, in units of the cell vectors:
K 0.0000 0.0000 0.0000  24 B 2.84
B 0.0000 0.2564 0.5000  4 B 1.74-1.84
B 0.0000 0.5000 0.2564  4 B 1.74-1.84
B 0.0000 0.5000 0.7436  4 B 1.74-1.84
B 0.0000 0.7436 0.5000  4 B 1.74-1.84
B 0.2564 0.0000 0.5000  4 B 1.74-1.84
B 0.2564 0.5000 0.0000  4 B 1.74-1.84
B 0.5000 0.0000 0.2564  4 B 1.74-1.84
B 0.5000 0.0000 0.7436  4 B 1.74-1.84
B 0.5000 0.2564 0.0000  4 B 1.74-1.84
B 0.5000 0.7436 0.0000  4 B 1.74-1.84
B 0.7436 0.0000 0.5000  4 B 1.74-1.84
B 0.7436 0.5000 0.0000  4 B 1.74-1.84

space group: Pm-3m, No. 221
formation energy from the elements: 0.8455 eV per atom

Compound: U2NbGa6
Source: Alexandria via LeMat-Bulk
Functional: PBE-GGA
Structure: relaxed

Cell: 8.1831 8.1831 2.8104 Å, 90.00 90.00 120.00°
With the nearest neighbours (Å) after each atom.
Sites, in units of the cell vectors:
U 0.3333 0.6667 0.0000  2 U 2.81, 12 Ga 3.13
U 0.6667 0.3333 0.0000  2 U 2.81, 12 Ga 3.13
Nb 0.0000 0.0000 0.0000  2 Nb 2.81, 12 Ga 2.95
Ga 0.0000 0.3172 0.5000  4 Ga 2.60-2.81
Ga 0.0000 0.6828 0.5000  4 Ga 2.60-2.81
Ga 0.3172 0.0000 0.5000  4 Ga 2.60-2.81
Ga 0.3172 0.3172 0.5000  4 Ga 2.60-2.81
Ga 0.6828 0.0000 0.5000  4 Ga 2.60-2.81
Ga 0.6828 0.6828 0.5000  4 Ga 2.60-2.81

space group: P6/mmm, No. 191
formation energy from the elements: -0.1526 eV per atom

Compound: Tm12Ag3H5
Source: Alexandria via LeMat-Bulk
Functional: PBE-GGA
Structure: relaxed

Cell: 13.0875 13.0875 13.0875 Å, 109.47 109.47 109.47°
With the nearest neighbours (Å) after each atom.
Sites, in units of the cell vectors:
Tm 0.0147 0.2075 0.1106  1 H 2.13
Tm 0.0147 0.3072 0.9040  1 H 2.13
Tm 0.0960 0.6106 0.4032  1 H 2.13
Tm 0.0960 0.9853 0.6928  1 H 2.13
Tm 0.0968 0.7075 0.6928  1 H 2.13
Tm 0.0968 0.8894 0.4040  1 H 2.13
Tm 0.1106 0.0147 0.2075  1 H 2.13
Tm 0.1106 0.5960 0.9032  1 H 2.13
Tm 0.1928 0.2075 0.5968  1 H 2.13
Tm 0.1928 0.4853 0.5960  1 H 2.13
Tm 0.2075 0.1106 0.0147  1 H 2.13
Tm 0.2075 0.5968 0.1928  1 H 2.13
Tm 0.2925 0.3072 0.9032  1 H 2.13
Tm 0.2925 0.4853 0.3894  1 H 2.13
Tm 0.3072 0.9032 0.2925  1 H 2.13
Tm 0.3072 0.9040 0.0147  1 H 2.13
Tm 0.3894 0.2925 0.4853  1 H 2.13
Tm 0.3894 0.5968 0.9040  1 H 2.13
Tm 0.4032 0.0960 0.6106  1 H 2.13
Tm 0.4032 0.8072 0.7925  1 H 2.13
Tm 0.4040 0.0968 0.8894  1 H 2.13
Tm 0.4040 0.8072 0.5147  1 H 2.13
Tm 0.4853 0.3894 0.2925  1 H 2.13
Tm 0.4853 0.5960 0.1928  1 H 2.13
Tm 0.5147 0.4040 0.8072  1 H 2.13
Tm 0.5147 0.6106 0.7075  1 H 2.13
Tm 0.5960 0.1928 0.4853  1 H 2.13
Tm 0.5960 0.9032 0.1106  1 H 2.13
Tm 0.5968 0.1928 0.2075  1 H 2.13
Tm 0.5968 0.9040 0.3894  1 H 2.13
Tm 0.6106 0.4032 0.0960  1 H 2.13
Tm 0.6106 0.7075 0.5147  1 H 2.13
Tm 0.6928 0.0960 0.9853  1 H 2.13
Tm 0.6928 0.0968 0.7075  1 H 2.13
Tm 0.7075 0.5147 0.6106  1 H 2.13
Tm 0.7075 0.6928 0.0968  1 H 2.13
Tm 0.7925 0.4032 0.8072  1 H 2.13
Tm 0.7925 0.8894 0.9853  1 H 2.13
Tm 0.8072 0.5147 0.4040  1 H 2.13
Tm 0.8072 0.7925 0.4032  1 H 2.13
Tm 0.8894 0.4040 0.0968  1 H 2.13
Tm 0.8894 0.9853 0.7925  1 H 2.13
Tm 0.9032 0.1106 0.5960  1 H 2.13
Tm 0.9032 0.2925 0.3072  1 H 2.13
Tm 0.9040 0.0147 0.3072  1 H 2.13
Tm 0.9040 0.3894 0.5968  1 H 2.13
Tm 0.9853 0.6928 0.0960  1 H 2.13
Tm 0.9853 0.7925 0.8894  1 H 2.13
Ag 0.1250 0.2500 0.3750  8 Tm 3.03-3.04
Ag 0.1250 0.3750 0.7500  8 Tm 3.03-3.04
Ag 0.2500 0.3750 0.1250  8 Tm 3.03-3.04
Ag 0.2500 0.8750 0.6250  8 Tm 3.03-3.04
Ag 0.3750 0.1250 0.2500  8 Tm 3.03-3.04
Ag 0.3750 0.7500 0.1250  8 Tm 3.03-3.04
Ag 0.6250 0.2500 0.8750  8 Tm 3.03-3.04
Ag 0.6250 0.8750 0.7500  8 Tm 3.03-3.04
Ag 0.7500 0.1250 0.3750  8 Tm 3.03-3.04
Ag 0.7500 0.6250 0.8750  8 Tm 3.03-3.04
Ag 0.8750 0.6250 0.2500  8 Tm 3.03-3.04
Ag 0.8750 0.7500 0.6250  8 Tm 3.03-3.04
H 0.0000 0.0000 0.0000  6 Tm 2.52
H 0.0000 0.0000 0.5000  6 Tm 2.52
H 0.0000 0.5000 0.0000  6 Tm 2.52
H 0.0000 0.5000 0.5000  6 Tm 2.52
H 0.1250 0.7500 0.8750  4 Tm 2.13
H 0.1250 0.8750 0.2500  4 Tm 2.13
H 0.2500 0.1250 0.8750  4 Tm 2.13
H 0.2500 0.6250 0.3750  4 Tm 2.13
H 0.3750 0.2500 0.6250  4 Tm 2.13
H 0.3750 0.6250 0.7500  4 Tm 2.13
H 0.5000 0.0000 0.0000  6 Tm 2.52
H 0.5000 0.0000 0.5000  6 Tm 2.52
H 0.5000 0.5000 0.0000  6 Tm 2.52
H 0.5000 0.5000 0.5000  6 Tm 2.52
H 0.6250 0.3750 0.2500  4 Tm 2.13
H 0.6250 0.7500 0.3750  4 Tm 2.13
H 0.7500 0.3750 0.6250  4 Tm 2.13
H 0.7500 0.8750 0.1250  4 Tm 2.13
H 0.8750 0.1250 0.7500  4 Tm 2.13
H 0.8750 0.2500 0.1250  4 Tm 2.13

space group: Ia-3d, No. 230
final energy: -333.8 eV per cell

Compound: Hf2ScRu2
Source: Alexandria via LeMat-Bulk
Functional: PBE-GGA
Structure: relaxed

Cell: 7.6370 7.6370 3.2302 Å, 90.00 90.00 90.00°
With the nearest neighbours (Å) after each atom.
Sites, in units of the cell vectors:
Hf 0.1504 0.3496 0.0000  6 Ru 2.73-2.78
Hf 0.3496 0.8496 0.0000  6 Ru 2.73-2.78
Hf 0.6504 0.1504 0.0000  6 Ru 2.73-2.78
Hf 0.8496 0.6504 0.0000  6 Ru 2.73-2.78
Sc 0.0000 0.0000 0.5000  4 Ru 2.93, 2 Sc 3.23
Sc 0.5000 0.5000 0.5000  4 Ru 2.93, 2 Sc 3.23
Ru 0.1456 0.6456 0.5000  6 Hf 2.73-2.78, 2 Sc 2.93
Ru 0.3544 0.1456 0.5000  6 Hf 2.73-2.78, 2 Sc 2.93
Ru 0.6456 0.8544 0.5000  6 Hf 2.73-2.78, 2 Sc 2.93
Ru 0.8544 0.3544 0.5000  6 Hf 2.73-2.78, 2 Sc 2.93

space group: P4/mbm, No. 127
formation energy from the elements: -0.4574 eV per atom
offset from the most stable computed form: 0.0 meV per atom

Compound: TmPaCd6
Source: Alexandria via LeMat-Bulk
Functional: PBE-GGA
Structure: relaxed

Cell: 6.0794 6.0794 6.0794 Å, 83.49 83.49 83.49°
With the nearest neighbours (Å) after each atom.
Sites, in units of the cell vectors:
Tm 0.0000 0.0000 0.0000  6 Cd 3.13
Pa 0.5000 0.5000 0.5000  6 Cd 3.08
Cd 0.0123 0.6536 0.6536  3 Cd 2.81-2.90, 1 Pa 3.08, 1 Tm 3.13
Cd 0.3464 0.3464 0.9877  3 Cd 2.81-2.90, 1 Pa 3.08, 1 Tm 3.13
Cd 0.3464 0.9877 0.3464  3 Cd 2.81-2.90, 1 Pa 3.08, 1 Tm 3.13
Cd 0.6536 0.0123 0.6536  3 Cd 2.81-2.90, 1 Pa 3.08, 1 Tm 3.13
Cd 0.6536 0.6536 0.0123  3 Cd 2.81-2.90, 1 Pa 3.08, 1 Tm 3.13
Cd 0.9877 0.3464 0.3464  3 Cd 2.81-2.90, 1 Pa 3.08, 1 Tm 3.13

space group: R-3m, No. 166
formation energy from the elements: 0.2576 eV per atom

| no. | magnetization (μB per cell) |
| --- | --- |
| 1 | 0.0 |
| 2 | 0.0 |
| 3 | 0.0 |
| 4 | 0.0 |
| 5 | 0.0 |
| 6 | 0.0 |
| 7 | 0.0 |
| 8 | 0.0 |
| 9 | 4.0 |
| 10 | 0.0 |
| 11 | 0.0 |
| 12 | 1.5 |